P:
The following is a DFT calculation (PBE) of an optimized crystal structure of Pu2ThPd.

Calculated values
The total magnetization is 11.05 μB per formula unit.

Structure (POSCAR):
```
Pu2ThPd
1.0
3.636 0.000 0.000
0.000 3.636 0.000
0.000 0.000 7.541
Pu Th Pd
2 1 1
Cartesian
0.000 0.000 1.591
0.000 0.000 5.951
1.818 1.818 3.771
1.818 1.818 0.000
```

=====

Q:
The following is a DFT calculation (PBE) of an optimized crystal structure of Pu2ThPd.

Calculated values
The total magnetization is 12.02 μB per formula unit.

Structure (POSCAR):
```
Pu2ThPd
1.0
3.361 0.000 0.000
-1.681 2.911 0.000
0.000 0.000 32.703
Pu Th Pd
6 3 3
Cartesian
0.000 0.000 3.223
0.000 0.000 29.480
0.000 1.941 18.579
0.000 1.941 25.025
1.681 0.970 7.678
1.681 0.970 14.124
0.000 0.000 0.000
0.000 1.941 21.802
1.681 0.970 10.901
0.000 0.000 16.351
0.000 1.941 5.450
1.681 0.970 27.252
```

=====

Most stable: P

=====

P:
The following is a DFT calculation (PBE) of an optimized crystal structure of PuThPd3.

Calculated values
The total magnetization is 5.68 μB per formula unit.

Structure (POSCAR):
```
PuThPd3
1.0
8.528 0.000 0.000
0.000 7.561 0.000
0.000 0.000 6.993
Pu Th Pd
4 4 12
Cartesian
0.000 0.000 0.000
0.000 3.781 0.000
4.264 0.000 3.497
4.264 3.781 3.497
0.830 1.890 3.370
3.434 5.671 6.867
5.094 1.890 0.127
7.698 5.671 3.623
1.642 5.671 2.230
1.741 4.333 4.784
1.741 7.009 4.784
2.523 0.552 1.287
2.523 3.229 1.287
2.622 1.890 5.727
5.906 5.671 1.266
6.005 4.333 5.706
6.005 7.009 5.706
6.788 0.552 2.209
6.788 3.229 2.209
6.887 1.890 4.763
```

=====

Q:
The following is a DFT calculation (PBE) of an optimized crystal structure of PuThPd3.

Calculated values
The total magnetization is 5.65 μB per formula unit.

Structure (POSCAR):
```
PuThPd3
1.0
4.212 0.000 0.000
0.000 5.790 0.000
0.000 0.000 9.269
Pu Th Pd
2 2 6
Cartesian
1.053 1.447 0.429
3.159 4.342 8.840
1.053 4.342 3.655
3.159 1.447 5.614
1.053 1.447 3.449
1.053 2.930 7.133
1.053 5.755 7.133
3.159 0.035 2.136
3.159 2.860 2.136
3.159 4.342 5.820
```

=====

Most stable: Q

=====

P:
The following is a DFT calculation (PBE) of an optimized crystal structure of Pu2TiPd.

Calculated values
The total magnetization is 0.59 μB per formula unit.

Structure (POSCAR):
```
Pu2TiPd
1.0
3.589 0.000 0.000
0.000 3.589 0.000
0.000 0.000 5.245
Pu Ti Pd
2 1 1
Cartesian
0.000 1.795 0.000
1.795 0.000 0.000
0.000 0.000 2.623
1.795 1.795 2.623
```

=====

Q:
The following is a DFT calculation (PBE) of an optimized crystal structure of Pu2TiPd.

Calculated values
The total magnetization is 11.97 μB per formula unit.

Structure (POSCAR):
```
Pu2TiPd
1.0
3.734 0.000 0.000
0.000 3.734 0.000
0.000 0.000 6.207
Pu Ti Pd
2 1 1
Cartesian
0.000 0.000 1.464
0.000 0.000 4.743
1.867 1.867 3.103
1.867 1.867 0.000
```

=====

Most stable: Q